Record 1
# V3CrNi12

A relaxed structure of V3CrNi12 (PBE, Alexandria via LeMat-Bulk).

Cell lengths 3.564, 3.564, 14.263 Å; angles 90.00, 90.00, 90.00 degrees
Fractional coordinates of all 16 atoms:
V (0.000, 0.000, 0.000)
V (0.000, 0.000, 0.253)
V (0.000, 0.000, 0.747)
Cr (0.000, 0.000, 0.500)
Ni (0.000, 0.500, 0.124)
Ni (0.000, 0.500, 0.372)
Ni (0.000, 0.500, 0.628)
Ni (0.000, 0.500, 0.876)
Ni (0.500, 0.000, 0.124)
Ni (0.500, 0.000, 0.372)
Ni (0.500, 0.000, 0.628)
Ni (0.500, 0.000, 0.876)
Ni (0.500, 0.500, 0.000)
Ni (0.500, 0.500, 0.248)
Ni (0.500, 0.500, 0.500)
Ni (0.500, 0.500, 0.752)

## Properties
Symmetry: P4/mmm
D(E_F) (states/eV per atom): 0.88
E_tot (eV/atom): -6.789
ΔE_f (eV per atom): -0.14

=====

Record 2
# CaTb4Eu

A relaxed structure of CaTb4Eu (PBE, Alexandria via LeMat-Bulk).

Cell lengths 6.781, 6.781, 6.781 Å; angles 60.00, 60.00, 60.00 degrees
Fractional coordinates of all 6 atoms:
Ca (0.000, 0.000, 0.000)
Tb (0.124, 0.625, 0.625)
Tb (0.625, 0.124, 0.625)
Tb (0.625, 0.625, 0.124)
Tb (0.625, 0.625, 0.625)
Eu (0.250, 0.250, 0.250)

## Properties
Symmetry: F-43m
D(E_F) (states/eV per atom): 2.29
E_tot (eV/atom): -4.941
ΔE_f (eV per atom): 0.19

=====

Record 3
# Nb2Ir2Os

A relaxed structure of Nb2Ir2Os (PBE, Alexandria via LeMat-Bulk).

Cell lengths 7.709, 7.709, 2.837 Å; angles 90.00, 90.00, 90.00 degrees
Fractional coordinates of all 10 atoms:
Nb (0.164, 0.336, 0.000)
Nb (0.336, 0.836, 0.000)
Nb (0.664, 0.164, 0.000)
Nb (0.836, 0.664, 0.000)
Ir (0.131, 0.631, 0.500)
Ir (0.369, 0.131, 0.500)
Ir (0.631, 0.869, 0.500)
Ir (0.869, 0.369, 0.500)
Os (0.000, 0.000, 0.000)
Os (0.500, 0.500, 0.000)

## Properties
Symmetry: P4/mbm
E above lowest polymorph (eV/atom): 0.4307
D(E_F) (states/eV per atom): 1.02
E_tot (eV/atom): -9.720
ΔE_f (eV per atom): 0.10

=====

Record 4
# YCl

A relaxed structure of YCl (PBE, Alexandria via LeMat-Bulk).

Cell lengths 6.517, 3.762, 10.283 Å; angles 90.00, 102.43, 90.00 degrees
Fractional coordinates of all 8 atoms:
Y (0.214, 0.000, 0.139)
Y (0.286, 0.500, 0.861)
Y (0.714, 0.500, 0.139)
Y (0.786, 0.000, 0.861)
Cl (0.106, 0.500, 0.312)
Cl (0.394, 0.000, 0.688)
Cl (0.606, 0.000, 0.312)
Cl (0.894, 0.500, 0.688)

## Properties
Symmetry: C2/m
D(E_F) (states/eV per atom): 1.13
E_tot (eV/atom): -5.650
Formation energy from raw total energies (eV per atom): -1.49

=====

> What is the formula in the second record?

CaTb4Eu

=====

> D(E_F) of number 2 (CaTb4Eu)?

2.29 states/eV per atom